The following is a DFT calculation (PBE) of crystalline MnSbPt2 at its relaxed geometry.

Calculated values
The calculation puts the density of states at the Fermi level at 2.20 states/eV/f.u. The value obtained for the energy relative to the elements, uncorrected is -0.20 eV/atom.

```
4
Lattice="3.621 0.000 0.000 0.000 3.621 0.000 0.000 0.000 5.443" Properties=species:S:1:pos:R:3 pbc="T T T"
Mn 0.000 0.000 0.000
Sb 1.810 1.810 3.645
Pt 0.000 0.000 2.645
Pt 1.810 1.810 0.914
```